A plane-wave DFT calculation with PBE was carried out for Ho6MgCd5 after structural relaxation.

## Properties
The energy comes out at -3.082 eV/atom. As for the density of states at the Fermi level: 12.5 states/eV/f.u. As for the total moment: 0.000 μB/cell.

abc: 5.274 15.899 7.450
angles: 90.00 90.00 90.00
Space group Cmmm (No. 65)
One atom of each set of equivalent atoms:
Ho1 0.000 0.000 0.246 [4 per cell]
Ho2 0.000 0.332 0.251 [8 per cell]
Mg1 0.000 0.500 0.500 [2 per cell]
Cd1 0.000 0.160 0.500 [4 per cell]
Cd2 0.000 0.166 0.000 [4 per cell]
Cd3 0.000 0.500 0.000 [2 per cell]